No. 1
Density functional theory data (GGA+U) for an optimized crystal structure of VCr2CdO6.

Cell: 5.1907 5.2259 5.5664 Å, 62.13 62.32 60.61°
Closest atoms and distances in Å follow each position.
Fractional coordinates of all 10 atoms:
V  0.0000  0.0000  0.0000  6 O 1.87-2.04
Cr  0.1981  0.1984  0.3955  6 O 2.01-2.07
Cr  0.6918  0.6869  0.9178  6 O 1.99-2.11
Cd  0.4804  0.4715  0.5684  4 O 2.17-2.42
O  0.0466  0.3986  0.7041  2 Cr 2.00-2.07, 1 V 2.01, 1 Cd 2.19
O  0.2739  0.9325  0.1716  1 V 1.87, 1 Cr 2.07
O  0.3996  0.8408  0.7013  2 Cr 2.00-2.06, 1 V 2.04, 1 Cd 2.17
O  0.5988  0.2831  0.1676  1 V 1.96, 2 Cr 2.01-2.06
O  0.8432  0.0418  0.7095  2 Cr 1.99-2.07, 1 V 2.01, 1 Cd 2.19
O  0.9209  0.5973  0.1819  1 V 2.02, 2 Cr 2.04-2.06

Output
Electronic total energy (eV/atom): -7.063
Space group: P1

***

No. 2
Density functional theory data (GGA+U) for an optimized crystal structure of Pm2MnRhO6.

Cell: 5.4867 5.8808 9.2587 Å, 90.00 124.72 90.00°
Closest atoms and distances in Å follow each position.
Fractional coordinates of all 20 atoms:
Pm  0.2274  0.0745  0.2494  7 O 2.36-2.63
Pm  0.2274  0.4255  0.7494  7 O 2.36-2.63
Pm  0.7726  0.5745  0.2506  7 O 2.36-2.63
Pm  0.7726  0.9255  0.7506  7 O 2.36-2.63
Mn  0.5000  0.0000  0.0000  6 O 1.95-2.11
Mn  0.5000  0.5000  0.5000  6 O 1.95-2.11
Rh  0.0000  0.0000  0.5000  6 O 2.06-2.10
Rh  0.0000  0.5000  0.0000  6 O 2.06-2.10
O  0.1363  0.1957  0.9489  1 Rh 2.10, 1 Mn 2.11
O  0.1363  0.3043  0.4489  1 Rh 2.10, 1 Mn 2.11
O  0.2573  0.6962  0.9466  1 Rh 2.09, 1 Mn 2.11
O  0.2573  0.8038  0.4466  1 Rh 2.09, 1 Mn 2.11
O  0.3648  0.0357  0.7556  1 Mn 1.95, 1 Rh 2.06
O  0.3648  0.4643  0.2556  1 Mn 1.95, 1 Rh 2.06
O  0.6352  0.5357  0.7444  1 Mn 1.95, 1 Rh 2.06
O  0.6352  0.9643  0.2444  1 Mn 1.95, 1 Rh 2.06
O  0.7427  0.1962  0.5534  1 Rh 2.09, 1 Mn 2.11
O  0.7427  0.3038  0.0534  1 Rh 2.09, 1 Mn 2.11
O  0.8637  0.6957  0.5511  1 Rh 2.10, 1 Mn 2.11
O  0.8637  0.8043  0.0511  1 Rh 2.10, 1 Mn 2.11

Output
Electronic total energy (eV/atom): -7.723
Space group: P2_1/c

***

Q: Which value of electronic total energy does entry 2 give?
A: -7.723 eV/atom